Entry 1:
The following is a GGA-PBE calculation of a relaxed structure of PrY6Tl, from Alexandria via LeMat-Bulk.

Lattice parameters (Å, degrees): 5.3894 6.9322 6.9322 103.42 90.00 90.00
Element x y z (fractional)
Y 0.5000 0.5000 0.0000
Y 0.0000 0.2841 0.7159
Y 0.0000 0.7159 0.2841
Y 0.0000 0.7868 0.7868
Y 0.0000 0.2132 0.2132
Y 0.5000 0.0000 0.5000
Pr 0.5000 0.5000 0.5000
Tl 0.5000 0.0000 0.0000

Calculated values
- mass density (kg/m3) = 5792
- E_tot (eV per atom) = -5.77
- E_form (kJ/mol of atoms) = -2.83
- M_tot (μB/cell) = 0.00

***

Entry 2:
The following is a GGA-PBE calculation of a relaxed structure of Pr2Y6Tl, from Alexandria via LeMat-Bulk.

Lattice parameters (Å, degrees): 3.5520 10.2521 9.7120 121.86 100.52 90.00
Element x y z (fractional)
Y 0.8233 0.6612 0.6467
Y 0.8233 0.9855 0.6467
Y 0.5000 0.7032 0.0000
Y 0.1767 0.3388 0.3533
Y 0.1767 0.0145 0.3533
Y 0.5000 0.2968 0.0000
Tl 0.0000 0.0000 0.0000
Pr 0.1519 0.6517 0.3033
Pr 0.8481 0.3483 0.6967

Calculated values
- mass density (kg/m3) = 5771
- E_tot (eV per atom) = -5.64
- E_form (kJ/mol of atoms) = -0.52
- M_tot (μB/cell) = 0.00

***

Entry 3:
The following is a GGA-PBE calculation of a relaxed structure of Pr3Y2Tl4, from Alexandria via LeMat-Bulk.

Lattice parameters (Å, degrees): 7.4289 10.0158 8.6714 90.00 115.36 90.00
Element x y z (fractional)
Tl 0.2442 0.7500 0.9883
Tl 0.7558 0.2500 0.0117
Tl 0.3018 0.4781 0.6036
Tl 0.6982 0.5219 0.3964
Tl 0.7442 0.7500 0.9883
Tl 0.1982 0.9781 0.3964
Tl 0.8018 0.0219 0.6036
Tl 0.2558 0.2500 0.0117
Pr 0.0000 0.0000 0.0000
Pr 0.9671 0.2500 0.4343
Pr 0.0329 0.7500 0.5657
Pr 0.5000 0.5000 0.0000
Pr 0.4671 0.2500 0.4343
Pr 0.5329 0.7500 0.5657
Y 0.8954 0.4475 0.7909
Y 0.1046 0.5525 0.2091
Y 0.3954 0.0525 0.7909
Y 0.6046 0.9475 0.2091

Calculated values
- mass density (kg/m3) = 8078
- E_tot (eV per atom) = -4.28
- E_form (kJ/mol of atoms) = -18.72
- M_tot (μB/cell) = 0.00

***

Entry 4:
The following is a GGA-PBE calculation of a relaxed structure of Pr5YTl3, from Alexandria via LeMat-Bulk.

Lattice parameters (Å, degrees): 6.9752 9.6743 9.6744 120.00 90.00 90.00
Site moments in Bohr magnetons follow the coordinates.
Element x y z (fractional)
Pr 0.0000 0.3334 0.6668  0.19
Pr 0.0000 0.6666 0.3332  0.19
Pr 0.7500 0.0000 0.3415  0.10
Pr 0.7500 0.6586 0.6585  0.10
Pr 0.2500 0.6586 0.0000  0.10
Pr 0.5000 0.3334 0.6668  0.19
Pr 0.2500 0.0000 0.6585  0.10
Pr 0.7500 0.3414 0.0000  0.10
Pr 0.2500 0.3414 0.3415  0.10
Pr 0.5000 0.6666 0.3332  0.19
Y 0.5000 0.0000 0.0000  0.12
Y 0.0000 0.0000 0.0000  0.12
Tl 0.7500 0.0001 0.6789  -0.01
Tl 0.7500 0.3212 0.3211  -0.01
Tl 0.2500 0.6788 0.6789  -0.01
Tl 0.7500 0.6788 0.0000  -0.01
Tl 0.2500 0.9999 0.3211  -0.01
Tl 0.2500 0.3212 0.0000  -0.01

Calculated values
- mass density (kg/m3) = 8263
- E_tot (eV per atom) = -4.43
- E_form (kJ/mol of atoms) = -26.24
- M_tot (μB/cell) = 2.95

***

Entry 5:
The following is a GGA-PBE calculation of a relaxed structure of PrY3Tl, from Alexandria via LeMat-Bulk.

Lattice parameters (Å, degrees): 4.9290 4.8973 12.9796 90.00 79.05 90.00
Site moments in Bohr magnetons follow the coordinates.
Element x y z (fractional)
Pr 0.4727 0.7500 0.7029  0.14
Pr 0.1756 0.2500 0.2971  0.14
Y 0.2764 0.7500 0.0956  0.04
Y 0.3719 0.2500 0.9044  0.04
Y 0.5748 0.2500 0.4988  0.21
Y 0.7719 0.2500 0.1046  0.04
Y 0.0736 0.7500 0.5012  0.21
Y 0.8765 0.7500 0.8954  0.04
Tl 0.9781 0.2500 0.6922  0.00
Tl 0.6703 0.7500 0.3078  0.00

Calculated values
- mass density (kg/m3) = 6607
- E_tot (eV per atom) = -5.43
- E_form (kJ/mol of atoms) = -11.56
- M_tot (μB/cell) = 1.52

***

Entry 6:
The following is a GGA-PBE calculation of a relaxed structure of Pr2YTl3, from Alexandria via LeMat-Bulk.

Lattice parameters (Å, degrees): 3.8066 6.8100 14.7588 90.00 97.41 90.00
Element x y z (fractional)
Pr 0.8451 0.2500 0.6902
Pr 0.0061 0.2500 0.0122
Pr 0.9939 0.7500 0.9878
Pr 0.1549 0.7500 0.3098
Tl 0.4220 0.0119 0.8441
Tl 0.2529 0.2500 0.5058
Tl 0.5780 0.5119 0.1559
Tl 0.5780 0.9881 0.1559
Tl 0.7471 0.7500 0.4942
Tl 0.4220 0.4881 0.8441
Y 0.6672 0.2500 0.3344
Y 0.3328 0.7500 0.6656

Calculated values
- mass density (kg/m3) = 8612
- E_tot (eV per atom) = -4.10
- E_form (kJ/mol of atoms) = -23.91
- M_tot (μB/cell) = 0.00

***

Entry 7:
The following is a GGA-PBE calculation of a relaxed structure of PrYTl4, from Alexandria via LeMat-Bulk.

Lattice parameters (Å, degrees): 5.0823 5.0914 7.7469 89.95 89.97 90.05
Element x y z (fractional)
Tl 0.0011 0.4976 0.2618
Tl 0.0015 0.4971 0.7345
Tl 0.5011 0.9975 0.7352
Tl 0.5015 0.9968 0.2610
Y 0.0013 0.9975 0.4982
Pr 0.5013 0.4972 0.9982

Calculated values
- mass density (kg/m3) = 8676
- E_tot (eV per atom) = -3.48
- E_form (kJ/mol of atoms) = -2.37
- M_tot (μB/cell) = 0.00

***

Entry 8:
The following is a GGA-PBE calculation of a relaxed structure of Pr12Y3Tl, from Alexandria via LeMat-Bulk.

Lattice parameters (Å, degrees): 5.1380 5.1380 20.8615 90.00 90.00 90.00
Element x y z (fractional)
Pr 0.5000 0.5000 0.5000
Pr 0.5000 0.5000 0.0000
Pr 0.5000 0.0000 0.8787
Pr 0.5000 0.0000 0.6261
Pr 0.0000 0.5000 0.6261
Pr 0.0000 0.5000 0.3739
Pr 0.5000 0.5000 0.2474
Pr 0.0000 0.5000 0.1213
Pr 0.5000 0.0000 0.3739
Pr 0.5000 0.5000 0.7526
Pr 0.0000 0.5000 0.8787
Pr 0.5000 0.0000 0.1213
Y 0.0000 0.0000 0.7514
Y 0.0000 0.0000 0.2486
Y 0.0000 0.0000 0.5000
Tl 0.0000 0.0000 0.0000

Calculated values
- mass density (kg/m3) = 6519
- E_tot (eV per atom) = -4.98
- E_form (kJ/mol of atoms) = -3.47
- M_tot (μB/cell) = 0.00

***

Entry 9:
The following is a GGA-PBE calculation of a relaxed structure of Pr2YTl, from Alexandria via LeMat-Bulk.

Lattice parameters (Å, degrees): 3.6193 3.6193 12.6368 81.77 81.77 60.00
Element x y z (fractional)
Tl 0.0000 0.0000 0.0000
Pr 0.9112 0.9112 0.2665
Pr 0.0888 0.0888 0.7335
Y 0.5000 0.5000 0.5000

Calculated values
- mass density (kg/m3) = 6754
- E_tot (eV per atom) = -4.52
- E_form (kJ/mol of atoms) = 7.59
- M_tot (μB/cell) = 0.00

***

Entry 10:
The following is a GGA-PBE calculation of a relaxed structure of Pr5Y8Tl, from Alexandria via LeMat-Bulk.

Lattice parameters (Å, degrees): 8.6602 8.6601 8.6602 103.39 122.48 103.38
Element x y z (fractional)
Pr 0.5000 0.0000 0.5000
Pr 0.8829 0.8031 0.0840
Pr 0.2809 0.1969 0.0797
Pr 0.9160 0.7989 0.7191
Pr 0.9203 0.2011 0.1171
Y 0.0436 0.5064 0.9637
Y 0.5797 0.3398 0.9201
Y 0.0799 0.6596 0.4196
Y 0.7601 0.3404 0.4203
Y 0.4629 0.9202 0.9564
Y 0.0363 0.0798 0.5427
Y 0.5804 0.6602 0.2399
Y 0.4573 0.4936 0.5371
Tl 0.2500 0.5000 0.7500

Calculated values
- mass density (kg/m3) = 5601
- E_tot (eV per atom) = -5.44
- E_form (kJ/mol of atoms) = 12.39
- M_tot (μB/cell) = 0.00